Entry i
Below is Mg2Cd2Hg3 after structural relaxation, with properties calculated at the PBE-GGA level.

```
Mg2Cd2Hg3
1.0
4.656 0.000 0.000
2.313 4.301 0.000
2.252 -0.706 8.292
Mg Cd Hg
2 2 3
Cartesian
2.311 1.514 1.095
6.910 2.081 7.197
4.590 3.283 5.028
4.631 0.312 3.264
0.000 0.000 0.000
4.594 0.561 6.225
4.627 3.035 2.068
```

## Properties
SG   P-1 (2)
D(E_F)   0.3146 states/eV/atom

---

Entry ii
Below is Mg2Cd2Hg3 after structural relaxation, with properties calculated at the PBE-GGA level.

```
Mg2Cd2Hg3
1.0
6.558 -1.689 0.000
6.558 1.689 0.000
-2.072 0.000 7.227
Mg Cd Hg
2 2 3
Cartesian
0.526 0.000 1.748
10.517 0.000 5.479
4.757 0.000 0.492
6.287 0.000 6.735
1.561 0.000 4.821
5.522 0.000 3.614
9.483 0.000 2.406
```

## Properties
SG   C2/m (12)
D(E_F)   0.2526 states/eV/atom

---

It is entry i that is most stable; the runner-up trails by 11 meV/atom.

---

Entry i
Below is MgCdHg3 after structural relaxation, with properties calculated at the PBE-GGA level.

```
MgCdHg3
1.0
7.156 -5.388 0.000
7.156 5.388 0.000
0.000 0.000 6.556
Mg Cd Hg
4 4 12
Cartesian
7.156 2.974 6.062
7.156 2.414 2.784
7.156 -2.414 3.772
7.156 -2.974 0.494
3.578 0.788 4.917
3.578 -0.788 1.639
10.734 0.788 4.917
10.734 -0.788 1.639
4.926 3.544 4.192
7.156 5.060 1.610
4.926 1.844 0.914
9.385 3.544 4.192
7.156 0.328 4.888
9.385 1.844 0.914
4.926 -1.844 5.642
7.156 -0.328 1.668
4.926 -3.544 2.364
9.385 -1.844 5.642
7.156 -5.060 4.946
9.385 -3.544 2.364
```

## Properties
SG   Cmce (64)
D(E_F)   0.2840 states/eV/atom

---

Entry ii
Below is MgCdHg3 after structural relaxation, with properties calculated at the PBE-GGA level.

```
MgCdHg3
1.0
8.423 0.000 0.000
0.000 7.915 0.000
-3.061 0.000 7.144
Mg Cd Hg
4 4 12
Cartesian
0.958 1.553 0.378
-0.572 2.404 3.949
5.934 5.511 3.194
4.404 6.361 6.766
2.339 4.120 1.982
0.809 7.752 5.554
4.553 0.162 1.590
3.023 3.795 5.162
-2.180 4.162 5.857
-0.649 7.710 2.285
0.368 5.206 4.101
1.899 6.666 0.530
2.073 1.355 3.183
0.543 2.602 6.755
4.819 5.312 0.389
3.289 6.560 3.961
3.463 1.248 6.614
4.994 2.709 3.042
6.011 0.205 4.858
7.542 3.753 1.286
```

## Properties
SG   P2_1/c (14)
D(E_F)   0.3178 states/eV/atom

---

Entry iii
Below is MgCdHg3 after structural relaxation, with properties calculated at the PBE-GGA level.

```
MgCdHg3
1.0
5.501 0.000 0.000
0.000 5.501 0.000
0.000 0.000 5.501
Mg Cd Hg
1 1 3
Cartesian
0.000 0.000 0.000
2.750 2.750 2.750
0.000 0.000 2.750
0.000 2.750 0.000
2.750 0.000 0.000
```

## Properties
SG   Pm-3m (221)
D(E_F)   0.5531 states/eV/atom

---

It is entry ii that is most stable; the runner-up trails by 22 meV/atom.

---

Entry i
Below is Mg6CdHg2 after structural relaxation, with properties calculated at the PBE-GGA level.

```
Mg6CdHg2
1.0
8.177 0.000 0.000
-4.088 7.081 0.000
0.000 0.000 3.381
Mg Cd Hg
6 1 2
Cartesian
-1.535 2.659 0.000
-2.897 5.018 1.691
1.191 2.063 1.691
3.071 0.000 0.000
2.553 4.422 0.000
5.794 0.000 1.691
0.000 0.000 0.000
0.000 4.721 1.691
4.088 2.360 1.691
```

## Properties
SG   P-62m (189)
D(E_F)   0.2981 states/eV/atom

---

Entry ii
Below is Mg6CdHg2 after structural relaxation, with properties calculated at the PBE-GGA level.

```
Mg6CdHg2
1.0
4.262 -2.517 0.000
4.262 2.517 0.000
-0.909 0.000 9.131
Mg Cd Hg
6 1 2
Cartesian
-0.149 0.000 1.586
2.468 0.000 3.605
2.803 0.000 0.447
4.812 0.000 8.684
5.147 0.000 5.526
7.764 0.000 7.545
-0.455 0.000 4.565
2.198 0.000 6.670
5.417 0.000 2.461
```

## Properties
SG   C2/m (12)
D(E_F)   0.3847 states/eV/atom

---

It is entry i that is most stable; the runner-up trails by 50 meV/atom.

---

Entry i
Below is Mg4CdHg2 after structural relaxation, with properties calculated at the PBE-GGA level.

```
Mg4CdHg2
1.0
2.418 1.396 7.827
-2.418 1.396 7.827
0.000 -2.792 7.827
Mg Cd Hg
4 1 2
Cartesian
0.000 0.000 2.766
0.000 0.000 8.734
0.000 0.000 14.746
0.000 0.000 20.714
0.000 0.000 11.740
0.000 0.000 5.896
0.000 0.000 17.584
```

## Properties
SG   R-3m (166)
D(E_F)   0.4231 states/eV/atom

---

Entry ii
Below is Mg4CdHg2 after structural relaxation, with properties calculated at the PBE-GGA level.

```
Mg4CdHg2
1.0
7.397 0.000 0.000
0.000 6.288 0.000
-3.657 0.000 6.838
Mg Cd Hg
8 2 4
Cartesian
-0.019 1.572 0.056
-1.442 0.025 5.060
-1.442 3.119 5.060
0.572 4.716 2.902
3.167 1.572 3.936
5.181 3.169 1.778
5.181 6.263 1.778
3.758 4.716 6.782
2.589 1.572 1.135
1.150 4.716 5.703
0.063 1.572 2.939
2.664 4.716 0.897
1.076 1.572 5.941
3.676 4.716 3.898
```

## Properties
SG   P2_1/m (11)
D(E_F)   0.3041 states/eV/atom

---

It is entry i that is most stable; the runner-up trails by 57 meV/atom.

---

Entry i
Below is MgCd8Hg6 after structural relaxation, with properties calculated at the PBE-GGA level.

```
MgCd8Hg6
1.0
4.160 2.402 6.408
-4.160 2.402 6.408
0.000 -4.803 6.408
Mg Cd Hg
1 8 6
Cartesian
0.000 0.000 0.000
-2.585 0.020 8.621
-1.310 -2.228 10.603
0.000 0.000 6.633
1.275 -2.249 8.621
-1.275 2.249 10.603
0.000 0.000 12.591
1.310 2.228 8.621
2.585 -0.020 10.603
-1.511 -2.565 7.616
-2.977 0.026 11.608
-1.466 2.591 7.616
1.466 -2.591 11.608
2.977 -0.026 7.616
1.511 2.565 11.608
```

## Properties
SG   R-3 (148)
D(E_F)   0.2282 states/eV/atom

---

Entry ii
Below is MgCd8Hg6 after structural relaxation, with properties calculated at the PBE-GGA level.

```
MgCd8Hg6
1.0
4.237 2.446 5.805
-4.237 2.446 5.805
0.000 -4.892 5.805
Mg Cd Hg
1 8 6
Cartesian
0.000 0.000 0.000
-2.603 -1.505 9.025
0.002 -3.007 8.391
-2.605 1.502 8.391
0.000 0.000 7.278
0.000 0.000 10.139
2.605 -1.502 9.025
-0.002 3.007 9.025
2.603 1.505 8.391
-1.707 0.977 5.058
0.007 -1.967 5.058
-1.700 -0.990 12.358
1.700 0.990 5.058
-0.007 1.967 12.358
1.707 -0.977 12.358
```

## Properties
SG   R-3 (148)
D(E_F)   0.4713 states/eV/atom

---

It is entry ii that is most stable; the runner-up trails by 7 meV/atom.

---

Entry i
Below is MgCd2Hg8 after structural relaxation, with properties calculated at the PBE-GGA level.

```
MgCd2Hg8
1.0
5.414 -5.324 0.000
5.414 5.324 0.000
-1.179 0.000 5.336
Mg Cd Hg
1 2 8
Cartesian
0.000 0.000 0.000
0.878 0.000 2.941
8.771 0.000 2.395
4.194 2.700 1.050
2.796 0.000 0.678
5.455 2.700 4.286
3.745 0.000 3.763
5.904 0.000 1.573
4.194 -2.700 1.050
6.853 0.000 4.658
5.455 -2.700 4.286
```

## Properties
SG   C2/m (12)
D(E_F)   0.2803 states/eV/atom

---

Entry ii
Below is MgCd2Hg8 after structural relaxation, with properties calculated at the PBE-GGA level.

```
MgCd2Hg8
1.0
7.498 -1.712 0.000
7.498 1.712 0.000
-5.664 0.000 10.556
Mg Cd Hg
1 2 8
Cartesian
0.000 0.000 0.000
-1.146 0.000 9.546
10.478 0.000 1.010
-2.391 0.000 6.743
1.185 0.000 2.790
2.331 0.000 5.709
5.884 0.000 1.755
3.448 0.000 8.801
7.001 0.000 4.847
8.147 0.000 7.766
11.722 0.000 3.813
```

## Properties
SG   C2/m (12)
D(E_F)   0.3090 states/eV/atom

---

It is entry ii that is most stable; the runner-up trails by 27 meV/atom.